Entry from the Alexandria database: a relaxed KLaNi2 crystal (PBEsol).

abc: 4.0708 3.9757 12.9798
angles: 90.00 90.00 90.00
Space group Amm2 (No. 38)
Unique sites:
K (0.0000, 0.0000, 0.0000) (multiplicity 2)
La (0.5000, 0.0000, 0.7345) (multiplicity 2)
Ni (0.0000, 0.0000, 0.2898) (multiplicity 2)
Ni (0.5000, 0.0000, 0.3711) (multiplicity 2)

Output
The formation energy comes out at 0.209 eV per atom. As for the crystal system: orthorhombic. Its electronic total energy is -35.9 eV/cell.